No. 1
{"formula": "NiPt", "functional": "PBE-GGA", "state": "relaxed", "dft_energy_ry_per_atom": -0.439, "magmom_total_mub_per_fu": 1.08, "e_form_ev_per_atom": -0.0640, "cell": [[7.1154, 0.0000, -0.0074], [2.0667, 4.9536, -0.0014], [0.0027, -0.0196, 4.6088]], "species": ["Ni", "Ni", "Ni", "Ni", "Ni", "Ni", "Pt", "Pt", "Pt", "Pt", "Pt", "Pt"], "frac_coords": [[0.9989, 0.0061, 0.0019], [0.3301, 0.0819, 0.1680], [0.6658, 0.1700, 0.3358], [0.3342, 0.3300, 0.6642], [0.6699, 0.4181, 0.8320], [0.0011, 0.4939, 0.9981], [0.0000, 0.2500, 0.5000], [0.3353, 0.5597, 0.1595], [0.6660, 0.6637, 0.3255], [0.0000, 0.7500, 0.5000], [0.3340, 0.8363, 0.6745], [0.6647, 0.9403, 0.8405]]}

***

No. 2
{"formula": "NiPt2", "functional": "PBE-GGA", "state": "relaxed", "dft_energy_ry_per_atom": -0.422, "magmom_total_mub_per_fu": 0.00, "e_form_ev_per_atom": 0.2090, "cell": [[3.9274, 0.0000, 0.0000], [0.0000, 3.9274, 0.0000], [0.0000, 0.0000, 3.1003]], "species": ["Ni", "Pt", "Pt"], "frac_coords": [[0.0000, 0.0000, 0.0000], [0.0000, 0.5000, 0.5000], [0.5000, 0.0000, 0.5000]]}

***

No. 3
{"formula": "Ni4Pt7", "functional": "PBE-GGA", "state": "relaxed", "dft_energy_ry_per_atom": -0.442, "de_polymorph_mev_per_atom": 0, "magmom_total_mub_per_fu": 5.35, "e_form_ev_per_atom": -0.0631, "cell": [[-4.6154, -0.5880, -0.3462], [0.4831, -5.9062, 4.0644], [0.0872, 3.1049, 3.5853]], "species": ["Ni", "Ni", "Ni", "Ni", "Pt", "Pt", "Pt", "Pt", "Pt", "Pt", "Pt"], "frac_coords": [[0.0010, 0.0000, 0.9984], [0.0911, 0.1823, 0.5480], [0.7271, 0.4540, 0.3611], [0.8171, 0.6363, 0.9107], [0.5533, 0.0959, 0.2751], [0.6442, 0.2778, 0.8133], [0.1740, 0.3585, 0.0958], [0.2649, 0.5405, 0.6340], [0.3620, 0.7243, 0.1758], [0.9091, 0.8182, 0.4545], [0.4562, 0.9121, 0.7333]]}

***

Number 1: DOS(E_F) 3.30 states/eV/f.u.. Number 2: DOS(E_F) 2.18 states/eV/f.u.. Number 3: DOS(E_F) 18.11 states/eV/f.u..